(1)
ScCr2Te | Alexandria | PBE | optimized geometry; energy relative to the elements, uncorrected = 2.03 eV/f.u.
1.0
-3.904 3.904 2.892
3.904 -3.904 2.892
3.904 3.904 -2.892
Sc Cr Te
2 4 2
Direct
0.000 0.000 0.000
0.750 0.250 0.500
0.150 0.625 0.025
0.375 0.400 0.525
0.600 0.125 0.975
0.875 0.850 0.475
0.250 0.750 0.500
0.500 0.500 0.000

---

(2)
BeZnFe2 | Alexandria | PBE | optimized geometry; energy above the most stable polymorph in this dataset = 169 meV/atom; calculated formation energy = 0.091 eV/atom
1.0
0.000 2.796 2.796
2.796 0.000 2.796
2.796 2.796 0.000
Be Zn Fe
1 1 2
Direct
0.000 0.000 0.000
0.500 0.500 0.500
0.250 0.250 0.250
0.750 0.750 0.750

---

(3)
Tb2PaI | Alexandria | PBE | optimized geometry; energy relative to the elements, uncorrected = 0.57 eV/f.u.
1.0
1.726 0.996 11.572
-1.726 0.996 11.572
0.000 -1.993 11.572
Tb Pa I
2 1 1
Direct
0.094 0.094 0.094
0.906 0.906 0.906
0.000 0.000 0.000
0.500 0.500 0.500

---

(4)
TaZnIn2 | Alexandria | PBE | optimized geometry; calculated formation energy = 0.265 eV/atom
1.0
3.205 0.000 0.000
0.000 4.163 0.000
0.000 0.000 5.979
Ta Zn In
1 1 2
Direct
0.000 0.000 0.000
0.500 0.500 0.222
0.000 0.000 0.479
0.500 0.500 0.762

---

(5)
CrSi2Hg | Alexandria | PBE | optimized geometry; energy relative to the elements, uncorrected = 1.73 eV/f.u.
1.0
3.495 0.000 0.000
0.000 4.039 0.000
-1.732 0.000 4.596
Cr Si Hg
1 2 1
Direct
0.000 0.000 0.000
0.299 0.000 0.597
0.871 0.500 0.740
0.596 0.500 0.195

---

(6)
HgC2 | Alexandria | PBE | optimized geometry; energy above the most stable polymorph in this dataset = 813 meV/atom; calculated formation energy = 1.351 eV/atom
1.0
6.438 -1.407 0.000
6.438 1.407 0.000
-1.427 0.000 5.512
Hg C
2 4
Direct
0.059 0.059 0.340
0.941 0.941 0.660
0.273 0.273 0.969
0.355 0.355 0.861
0.645 0.645 0.139
0.727 0.727 0.031

---

Number 1: energy -53.379 eV for the cell shown. Number 2: energy -21.561 eV for the cell shown. Number 3: energy -19.738 eV for the cell shown. Number 4: energy -17.545 eV for the cell shown. Number 5: energy -19.044 eV for the cell shown. Number 6: energy -29.396 eV for the cell shown.